First-principles (PBE-GGA) data for a relaxed structure of Er2PdN, as listed in Alexandria via LeMat-Bulk.

Its density of states at the Fermi level is 0.545 states/eV/atom. The formation energy without anion corrections is -0.719 eV/atom. The volume comes out at 16.748 Å³/atom. For the total DFT energy (no corrections), the calculation gives -6.38 eV/atom. As for the crystal system: tetragonal.

The structure belongs to space group P4/mmm (No. 123); the cell edges are 3.158, 3.158 and 6.718 Å and the angles 90.00°, 90.00° and 90.00°. Symmetry generates all atoms from Er at (0.000, 0.000, 0.213), Pd at (0.500, 0.500, 0.500) and N at (0.500, 0.500, 0.000).